VASP calculation (PBE-GGA) on ScRe2Ni after structural relaxation.

a = 2.830 Å, b = 4.331 Å, c = 5.075 Å
α = 90.00°, β = 99.12°, γ = 90.00°
Space group Pm (No. 6)
Symmetry-distinct sites (fractional):
Sc 0.000 0.000 0.000 x1
Re 0.259 0.500 0.648 x1
Re 0.621 0.000 0.489 x1
Ni 0.568 0.500 0.172 x1

Computed properties:
V = 15.35 Å³ per atom
Formation energy = -0.036 eV/atom
Energy = -9.288 eV per atom
Polymorph energy (0 for the lowest one) = 0.17 eV per formula unit
Total moment = 0.00 μB/cell

VASP calculation (PBE-GGA) on Sc2Tl2Si after structural relaxation.

a = 7.275 Å, b = 7.275 Å, c = 4.371 Å
α = 90.00°, β = 90.00°, γ = 90.00°
Space group P4/mbm (No. 127)
Symmetry-distinct sites (fractional):
Sc 0.166 0.334 0.000 x4
Tl 0.142 0.642 0.500 x4
Si 0.000 0.000 0.500 x2

Computed properties:
V = 23.13 Å³ per atom
Formation energy from raw total energies = 0.00 eV/atom
Energy = -4.561 eV per atom
Polymorph energy (0 for the lowest one) = 0.90 eV per formula unit
Total moment = 0.00 μB/cell

VASP calculation (PBE-GGA) on Mg4ZnGa5 after structural relaxation.

a = 3.327 Å, b = 3.327 Å, c = 17.191 Å
α = 90.00°, β = 90.00°, γ = 90.00°
Space group P4/mmm (No. 123)
Symmetry-distinct sites (fractional):
Mg 0.000 0.000 0.104 x2
Mg 0.000 0.000 0.310 x2
Zn 0.000 0.000 0.500 x1
Ga 0.500 0.500 0.000 x1
Ga 0.500 0.500 0.208 x2
Ga 0.500 0.500 0.414 x2

Computed properties:
V = 19.02 Å³ per atom
Formation energy = -0.091 eV/atom
Energy = -2.370 eV per atom
Total moment = 0.00 μB/cell

VASP calculation (PBE-GGA) on PrFe2H8 after structural relaxation.

a = 4.524 Å, b = 7.774 Å, c = 4.475 Å
α = 90.00°, β = 91.56°, γ = 90.00°
Space group Cm (No. 8)
Symmetry-distinct sites (fractional):
Pr 0.000 0.000 0.000 x2
Fe 0.057 0.330 0.492 x4
H 0.026 0.500 0.254 x2
H 0.165 0.270 0.811 x4
H 0.267 0.222 0.257 x4
H 0.415 0.366 0.521 x4
H 0.481 0.000 0.710 x2

Computed properties:
V = 7.15 Å³ per atom
Energy = -4.573 eV per atom
Polymorph energy (0 for the lowest one) = 0.00 eV per formula unit
Total moment = 4.38 μB/cell

VASP calculation (PBE-GGA) on Ti2BeVH after structural relaxation.

a = 4.098 Å, b = 4.098 Å, c = 3.424 Å
α = 90.00°, β = 90.00°, γ = 90.00°
Space group P4/mmm (No. 123)
Symmetry-distinct sites (fractional):
Ti 0.000 0.500 0.000 x2
Be 0.000 0.000 0.500 x1
V 0.500 0.500 0.500 x1
H 0.000 0.000 0.000 x1

Computed properties:
V = 11.50 Å³ per atom
Energy = -6.464 eV per atom
Polymorph energy (0 for the lowest one) = 0.23 eV per formula unit
Total moment = 1.35 μB/cell

VASP calculation (PBE-GGA) on Tb2Pm4Dy5 after structural relaxation.

a = 17.538 Å, b = 5.482 Å, c = 8.475 Å
α = 90.00°, β = 116.80°, γ = 90.00°
Space group C2/m (No. 12)
Symmetry-distinct sites (fractional):
Tb 0.120 0.000 0.441 x4
Pm 0.017 0.500 0.721 x4
Pm 0.165 0.000 0.891 x4
Dy 0.000 0.000 0.000 x2
Dy 0.157 0.500 0.195 x4
Dy 0.205 0.500 0.659 x4

Computed properties:
V = 33.06 Å³ per atom
Formation energy = 0.094 eV/atom
Energy = -4.567 eV per atom
Polymorph energy (0 for the lowest one) = 0.00 eV per formula unit
Total moment = 0.00 μB/cell

VASP calculation (PBE-GGA) on ZrTl2C after structural relaxation.

a = 8.972 Å, b = 8.972 Å, c = 4.547 Å
α = 90.00°, β = 90.00°, γ = 90.00°
Space group I-42d (No. 122)
Symmetry-distinct sites (fractional):
Zr 0.000 0.000 0.000 x4
Tl 0.133 0.250 0.625 x8
C 0.000 0.000 0.500 x4

Computed properties:
V = 22.88 Å³ per atom
Formation energy = 0.791 eV/atom
Energy = -4.836 eV per atom
Polymorph energy (0 for the lowest one) = 0.00 eV per formula unit
Total moment = 0.00 μB/cell

VASP calculation (PBE-GGA) on ReTcHIr2 after structural relaxation.

a = 3.885 Å, b = 3.885 Å, c = 4.017 Å
α = 90.00°, β = 90.00°, γ = 90.00°
Space group P4/mmm (No. 123)
Symmetry-distinct sites (fractional):
Re 0.000 0.000 0.000 x1
Tc 0.500 0.500 0.000 x1
H 0.000 0.000 0.500 x1
Ir 0.000 0.500 0.500 x2

Computed properties:
V = 12.13 Å³ per atom
Energy = -8.729 eV per atom
Polymorph energy (0 for the lowest one) = 0.16 eV per formula unit
Total moment = 0.00 μB/cell

VASP calculation (PBE-GGA) on Ag3Pd4Au5 after structural relaxation.

a = 11.159 Å, b = 5.514 Å, c = 7.388 Å
α = 90.00°, β = 100.78°, γ = 90.00°
Space group C2/m (No. 12)
Symmetry-distinct sites (fractional):
Ag 0.000 0.000 0.000 x2
Ag 0.086 0.500 0.669 x4
Pd 0.166 0.000 0.333 x4
Pd 0.248 0.000 0.999 x4
Au 0.000 0.500 0.000 x2
Au 0.082 0.000 0.666 x4
Au 0.169 0.500 0.332 x4

Computed properties:
V = 18.61 Å³ per atom
Formation energy = 0.159 eV/atom
Energy = -3.651 eV per atom
Total moment = 0.00 μB/cell

VASP calculation (PBE-GGA) on CaPmY after structural relaxation.

a = 32.521 Å, b = 3.636 Å, c = 3.694 Å
α = 90.00°, β = 90.02°, γ = 90.00°
Space group C2/m (No. 12)
Symmetry-distinct sites (fractional):
Ca 0.051 0.000 0.249 x4
Pm 0.210 0.000 0.250 x4
Y 0.135 0.500 0.749 x4

Computed properties:
V = 36.40 Å³ per atom
Formation energy = 0.073 eV/atom
Energy = -4.333 eV per atom
Polymorph energy (0 for the lowest one) = 0.10 eV per formula unit
Total moment = 0.00 μB/cell

VASP calculation (PBE-GGA) on Ac4CdCo after structural relaxation.

a = 14.756 Å, b = 14.756 Å, c = 14.756 Å
α = 90.00°, β = 90.00°, γ = 90.00°
Space group F-43m (No. 216)
Symmetry-distinct sites (fractional):
Ac 0.000 0.000 0.189 x24
Ac 0.060 0.250 0.250 x24
Ac 0.095 0.095 0.595 x16
Cd 0.172 0.172 0.828 x16
Co 0.109 0.109 0.391 x16

Computed properties:
V = 33.47 Å³ per atom
Formation energy = -0.116 eV/atom
Energy = -4.192 eV per atom
Polymorph energy (0 for the lowest one) = 0.00 eV per formula unit
Total moment = 0.00 μB/cell

VASP calculation (PBE-GGA) on NdHoCoRh after structural relaxation.

a = 6.888 Å, b = 6.888 Å, c = 6.888 Å
α = 90.00°, β = 90.00°, γ = 90.00°
Space group F-43m (No. 216)
Symmetry-distinct sites (fractional):
Nd 0.000 0.000 0.000 x4
Ho 0.000 0.000 0.500 x4
Co 0.250 0.250 0.250 x4
Rh 0.250 0.250 0.750 x4

Computed properties:
V = 20.43 Å³ per atom
Formation energy = -0.389 eV/atom
Energy = -6.340 eV per atom
Total moment = 2.49 μB/cell

VASP calculation (PBE-GGA) on HfMg2BiO after structural relaxation.

a = 5.643 Å, b = 5.643 Å, c = 4.264 Å
α = 90.00°, β = 90.00°, γ = 90.00°
Space group P4/mmm (No. 123)
Symmetry-distinct sites (fractional):
Hf 0.000 0.000 0.000 x1
Mg 0.000 0.500 0.500 x2
Bi 0.500 0.500 0.500 x1
O 0.500 0.500 0.000 x1

Computed properties:
V = 27.15 Å³ per atom
Formation energy from raw total energies = 0.70 eV/atom
Energy = -3.701 eV per atom
Total moment = 0.00 μB/cell

VASP calculation (PBE-GGA) on TaReRu2 after structural relaxation.

a = 6.271 Å, b = 6.271 Å, c = 6.271 Å
α = 90.00°, β = 90.00°, γ = 90.00°
Space group F-43m (No. 216)
Symmetry-distinct sites (fractional):
Ta 0.000 0.000 0.000 x4
Re 0.250 0.250 0.250 x4
Ru 0.000 0.000 0.500 x4
Ru 0.250 0.250 0.750 x4

Computed properties:
V = 15.41 Å³ per atom
Formation energy = 0.137 eV/atom
Energy = -10.576 eV per atom
Polymorph energy (0 for the lowest one) = 0.99 eV per formula unit
Total moment = 5.57 μB/cell

VASP calculation (PBE-GGA) on NbSnSb2I after structural relaxation.

a = 5.582 Å, b = 5.582 Å, c = 5.787 Å
α = 90.00°, β = 90.00°, γ = 90.00°
Space group P4/mmm (No. 123)
Symmetry-distinct sites (fractional):
Nb 0.000 0.000 0.000 x1
Sn 0.500 0.500 0.500 x1
Sb 0.000 0.500 0.500 x2
I 0.500 0.500 0.000 x1

Computed properties:
V = 36.07 Å³ per atom
Formation energy from raw total energies = 1.24 eV/atom
Energy = -3.534 eV per atom
Polymorph energy (0 for the lowest one) = 4.10 eV per formula unit
Total moment = 2.53 μB/cell

VASP calculation (PBE-GGA) on ZnCuNi after structural relaxation.

a = 4.446 Å, b = 7.719 Å, c = 4.458 Å
α = 90.00°, β = 108.42°, γ = 90.00°
Space group C2/c (No. 15)
Symmetry-distinct sites (fractional):
Zn 0.000 0.092 0.250 x4
Cu 0.000 0.419 0.250 x4
Ni 0.000 0.248 0.750 x4

Computed properties:
V = 12.10 Å³ per atom
Formation energy = -0.120 eV/atom
Energy = -3.838 eV per atom
Polymorph energy (0 for the lowest one) = 0.00 eV per formula unit
Total moment = 0.00 μB/cell

VASP calculation (PBE-GGA) on LaTmCd after structural relaxation.

a = 3.765 Å, b = 17.198 Å, c = 5.598 Å
α = 90.00°, β = 90.00°, γ = 90.00°
Space group Cmcm (No. 63)
Symmetry-distinct sites (fractional):
La 0.000 0.083 0.250 x4
Tm 0.000 0.232 0.750 x4
Cd 0.000 0.415 0.250 x4

Computed properties:
V = 30.21 Å³ per atom
Formation energy = -0.209 eV/atom
Energy = -3.647 eV per atom
Polymorph energy (0 for the lowest one) = 0.00 eV per formula unit
Total moment = 0.00 μB/cell

VASP calculation (PBE-GGA) on Na2ScTlS after structural relaxation.

a = 5.235 Å, b = 5.235 Å, c = 4.925 Å
α = 90.00°, β = 90.00°, γ = 90.00°
Space group P4/mmm (No. 123)
Symmetry-distinct sites (fractional):
Na 0.000 0.500 0.000 x2
Sc 0.000 0.000 0.500 x1
Tl 0.500 0.500 0.500 x1
S 0.000 0.000 0.000 x1

Computed properties:
V = 26.99 Å³ per atom
Formation energy from raw total energies = -0.49 eV/atom
Energy = -3.586 eV per atom
Polymorph energy (0 for the lowest one) = 0.00 eV per formula unit
Total moment = 0.00 μB/cell

VASP calculation (PBE-GGA) on CeAl2ZnAg4 after structural relaxation.

a = 4.4952 Å, b = 4.4952 Å, c = 26.6537 Å
α = 90.00°, β = 90.00°, γ = 120.00°
Space group R-3m (No. 166, hexagonal axes)
Symmetry-distinct sites (fractional):
Ce 0.0000 0.0000 0.0000 x3
Al 0.0000 0.0000 0.2476 x6
Zn 0.0000 0.0000 0.5000 x3
Ag 0.0000 0.0000 0.1337 x6
Ag 0.0000 0.0000 0.4014 x6

Computed properties:
V = 19.43 Å³ per atom
Formation energy = -0.121 eV/atom
Energy = -3.383 eV per atom
Total moment = 2.33 μB/cell

VASP calculation (PBE-GGA) on RbAu3I6 after structural relaxation.

a = 10.185 Å, b = 14.560 Å, c = 12.049 Å
α = 90.00°, β = 90.00°, γ = 90.00°
Space group Ibam (No. 72)
Symmetry-distinct sites (fractional):
Rb 0.000 0.000 0.250 x4
Au 0.000 0.500 0.250 x4
Au 0.213 0.317 0.000 x8
I 0.007 0.184 0.500 x8
I 0.187 0.368 0.217 x16

Computed properties:
V = 44.67 Å³ per atom
Formation energy from raw total energies = -0.29 eV/atom
Energy = -2.298 eV per atom
Total moment = 0.00 μB/cell